#a
The following is a DFT calculation (GGA-PBE) of CsCaMg3 after structural relaxation. Values from VASP.

Results
The calculation puts the size of the total moment at 0.00 μB/f.u.

Structure (Quantum ESPRESSO input):
```
&SYSTEM
  ibrav = 0, nat = 5, ntyp = 3
/
ATOMIC_SPECIES
Mg 24.30 Mg.upf
Ca 40.08 Ca.upf
Cs 132.91 Cs.upf
CELL_PARAMETERS angstrom
6.3415 0.0000 0.0000
0.0000 6.3415 0.0000
0.0000 0.0000 6.3415
ATOMIC_POSITIONS crystal
Mg 0.0000 0.0000 0.5000
Mg 0.5000 0.0000 0.0000
Ca 0.5000 0.5000 0.5000
Mg 0.0000 0.5000 0.0000
Cs 0.0000 0.0000 0.0000
```

=====

#b
The following is a DFT calculation (GGA-PBE) of CsCaMg3 after structural relaxation. Values from VASP.

Results
The calculation puts the size of the total moment at 0.00 μB/f.u.

Structure (Quantum ESPRESSO input):
```
&SYSTEM
  ibrav = 0, nat = 5, ntyp = 3
/
ATOMIC_SPECIES
Mg 24.30 Mg.upf
Cs 132.91 Cs.upf
Ca 40.08 Ca.upf
CELL_PARAMETERS angstrom
6.3999 0.0000 0.0000
0.0000 6.3999 0.0000
0.0000 0.0000 6.3999
ATOMIC_POSITIONS crystal
Mg 0.5000 0.0000 0.0000
Cs 0.5000 0.5000 0.5000
Mg 0.0000 0.0000 0.5000
Mg 0.0000 0.5000 0.0000
Ca 0.0000 0.0000 0.0000
```

=====

#b ends up most stable, edging out the next structure by 0.420 eV/atom.

=====

#a
The following is a DFT calculation (GGA-PBE) of CsCaMg2 after structural relaxation. Values from VASP.

Results
The calculation puts the size of the total moment at 0.00 μB/f.u.

Structure (Quantum ESPRESSO input):
```
&SYSTEM
  ibrav = 0, nat = 4, ntyp = 3
/
ATOMIC_SPECIES
Mg 24.30 Mg.upf
Ca 40.08 Ca.upf
Cs 132.91 Cs.upf
CELL_PARAMETERS angstrom
-3.3958 4.6180 -2.1419
-6.0716 -0.0582 0.7595
-2.6346 3.9210 3.8897
ATOMIC_POSITIONS crystal
Mg 0.2500 0.2500 0.2500
Ca 0.0000 0.0000 0.0000
Mg 0.7500 0.7500 0.7500
Cs 0.5000 0.5000 0.5000
```

=====

#b
The following is a DFT calculation (GGA-PBE) of CsCaMg2 after structural relaxation. Values from VASP.

Results
The calculation puts the size of the total moment at 0.00 μB/f.u.

Structure (Quantum ESPRESSO input):
```
&SYSTEM
  ibrav = 0, nat = 8, ntyp = 3
/
ATOMIC_SPECIES
Mg 24.30 Mg.upf
Cs 132.91 Cs.upf
Ca 40.08 Ca.upf
CELL_PARAMETERS angstrom
-3.0390 0.4791 9.2851
6.2769 -7.1006 2.4208
4.3000 -0.6877 6.5951
ATOMIC_POSITIONS crystal
Mg 0.8750 0.8404 0.7500
Cs 0.7500 0.2500 0.5000
Ca 0.2500 0.7500 0.5000
Cs 0.0000 0.0000 0.0000
Mg 0.5904 0.1250 0.2500
Mg 0.1596 0.6250 0.2500
Ca 0.5000 0.5000 0.0000
Mg 0.3750 0.4096 0.7500
```

=====

#a ends up most stable, edging out the next structure by 0.166 eV/atom.

=====

#a
The following is a DFT calculation (GGA-PBE) of CsCa3Mn after structural relaxation. Values from VASP.

Results
The calculation puts the size of the total moment at 3.60 μB/f.u.

Structure (Quantum ESPRESSO input):
```
&SYSTEM
  ibrav = 0, nat = 5, ntyp = 3
/
ATOMIC_SPECIES
Ca 40.08 Ca.upf
Cs 132.91 Cs.upf
Mn 54.94 Mn.upf
CELL_PARAMETERS angstrom
5.6954 0.0000 0.0000
0.0000 5.6954 0.0000
0.0000 0.0000 5.6954
ATOMIC_POSITIONS crystal
Ca 0.0000 0.5000 0.0000
Cs 0.0000 0.0000 0.0000
Ca 0.5000 0.0000 0.0000
Ca 0.0000 0.0000 0.5000
Mn 0.5000 0.5000 0.5000
```

=====

#b
The following is a DFT calculation (GGA-PBE) of CsCa3Mn after structural relaxation. Values from VASP.

Results
The calculation puts the size of the total moment at 1.60 μB/f.u.

Structure (Quantum ESPRESSO input):
```
&SYSTEM
  ibrav = 0, nat = 5, ntyp = 3
/
ATOMIC_SPECIES
Ca 40.08 Ca.upf
Mn 54.94 Mn.upf
Cs 132.91 Cs.upf
CELL_PARAMETERS angstrom
-4.8666 -1.5025 -2.7775
1.1082 -5.5907 1.0826
-2.9570 0.3776 4.9769
ATOMIC_POSITIONS crystal
Ca 0.0000 0.0000 0.5000
Ca 0.0000 0.5000 0.0000
Mn 0.0000 0.0000 0.0000
Cs 0.5000 0.5000 0.5000
Ca 0.5000 0.0000 0.0000
```

=====

#b ends up most stable, edging out the next structure by 0.982 eV/atom.

=====

#a
The following is a DFT calculation (GGA-PBE) of CsCaMo3 after structural relaxation. Values from VASP.

Results
The calculation puts the size of the total moment at 9.37 μB/f.u.

Structure (Quantum ESPRESSO input):
```
&SYSTEM
  ibrav = 0, nat = 5, ntyp = 3
/
ATOMIC_SPECIES
Mo 95.94 Mo.upf
Cs 132.91 Cs.upf
Ca 40.08 Ca.upf
CELL_PARAMETERS angstrom
5.2636 0.0000 0.0000
0.0000 5.2636 0.0000
0.0000 0.0000 5.2636
ATOMIC_POSITIONS crystal
Mo 0.0000 0.5000 0.0000
Cs 0.5000 0.5000 0.5000
Mo 0.5000 0.0000 0.0000
Ca 0.0000 0.0000 0.0000
Mo 0.0000 0.0000 0.5000
```

=====

#b
The following is a DFT calculation (GGA-PBE) of CsCaMo3 after structural relaxation. Values from VASP.

Results
The calculation puts the size of the total moment at 2.13 μB/f.u.

Structure (Quantum ESPRESSO input):
```
&SYSTEM
  ibrav = 0, nat = 5, ntyp = 3
/
ATOMIC_SPECIES
Mo 95.94 Mo.upf
Cs 132.91 Cs.upf
Ca 40.08 Ca.upf
CELL_PARAMETERS angstrom
5.0014 0.0000 0.0000
0.0000 5.0014 0.0000
0.0000 0.0000 5.0014
ATOMIC_POSITIONS crystal
Mo 0.0000 0.0000 0.5000
Cs 0.0000 0.0000 0.0000
Mo 0.5000 0.0000 0.0000
Mo 0.0000 0.5000 0.0000
Ca 0.5000 0.5000 0.5000
```

=====

#b ends up most stable, edging out the next structure by 0.166 eV/atom.